(1)
# GGA-PBE RbAl2Pb2, optimized geometry
data_RbAl2Pb2
_cell_length_a 9.390
_cell_length_b 9.390
_cell_length_c 3.386
_cell_angle_alpha 90.00
_cell_angle_beta 90.00
_cell_angle_gamma 90.00
_symmetry_space_group_name_H-M 'P 4/m b m'
_symmetry_Int_Tables_number 127
_symmetry_space_group_name_Hall '-P 4 2ab'
loop_
_atom_site_label
_atom_site_type_symbol
_atom_site_fract_x
_atom_site_fract_y
_atom_site_fract_z
Rb1 Rb 0.000 0.000 0.000
Al1 Al 0.142 0.358 0.500
Pb1 Pb 0.140 0.640 0.000
# * ρ: 6.2 g/cm3
# * energy relative to the lowest polymorph listed for this composition: 212.5 meV/atom
# * formation energy: 0.19 eV per atom

=====

(2)
# GGA-PBE VGe2Rh, optimized geometry
data_VGe2Rh
_cell_length_a 2.8311
_cell_length_b 2.8311
_cell_length_c 26.9763
_cell_angle_alpha 90.00
_cell_angle_beta 90.00
_cell_angle_gamma 120.00
_symmetry_space_group_name_H-M 'R -3 m'
_symmetry_Int_Tables_number 166
_symmetry_space_group_name_Hall '-R 3 2"'
loop_
_atom_site_label
_atom_site_type_symbol
_atom_site_fract_x
_atom_site_fract_y
_atom_site_fract_z
V1 V 0.0000 0.0000 0.0000
Ge1 Ge 0.0000 0.0000 0.4107
Rh1 Rh 0.0000 0.0000 0.5000
# * ρ: 8.0 g/cm3
# * formation energy: 0.00 eV per atom

=====

(3)
# GGA-PBE ZnInCl2, optimized geometry
data_ZnInCl2
_cell_length_a 5.406
_cell_length_b 3.871
_cell_length_c 5.543
_cell_angle_alpha 90.00
_cell_angle_beta 116.54
_cell_angle_gamma 90.00
_symmetry_space_group_name_H-M 'P 1 m 1'
_symmetry_Int_Tables_number 6
loop_
_symmetry_equiv_pos_as_xyz
'x,y,z'
'x,-y,z'
loop_
_atom_site_label
_atom_site_type_symbol
_atom_site_fract_x
_atom_site_fract_y
_atom_site_fract_z
Zn1 Zn 0.000 0.000 0.000
In1 In 0.691 0.500 0.100
Cl1 Cl 0.121 0.500 0.753
Cl2 Cl 0.466 0.000 0.352
# * ρ: 4.0 g/cm3
# * energy relative to the lowest polymorph listed for this composition: 18.2 meV/atom

=====

(4)
# GGA-PBE Hf3Ti5N2, optimized geometry
data_Hf3Ti5N2
_cell_length_a 7.368
_cell_length_b 13.869
_cell_length_c 6.251
_cell_angle_alpha 90.00
_cell_angle_beta 90.00
_cell_angle_gamma 90.00
_symmetry_space_group_name_H-M 'I b a m'
_symmetry_Int_Tables_number 72
_symmetry_space_group_name_Hall '-I 2 2c'
loop_
_atom_site_label
_atom_site_type_symbol
_atom_site_fract_x
_atom_site_fract_y
_atom_site_fract_z
Hf1 Hf 0.000 0.000 0.250
Hf2 Hf 0.206 0.368 0.000
Ti1 Ti 0.000 0.221 0.250
Ti2 Ti 0.000 0.500 0.250
Ti3 Ti 0.216 0.369 0.500
N1 N 0.003 0.116 0.000
# * ρ: 8.3 g/cm3
# * total energy: -9.301 eV/atom